Entry 1:
LaEr8: relaxed, PBE.

Results
Total magnetization: 0.000 μB/atom
Symmetry: I4/mmm (139)
Final energy: -4.573 eV per atom
Formation energy: 0.03 eV per atom

Lattice parameters (Å, degrees): 4.993 7.912 7.912 84.29 71.61 71.61
Positions (direct):
La (0.000, 0.000, 0.000)
Er (0.331, 0.000, 0.338)
Er (0.669, 0.000, 0.662)
Er (0.669, 0.662, 0.000)
Er (0.000, 0.665, 0.335)
Er (0.335, 0.665, 0.665)
Er (0.665, 0.335, 0.335)
Er (0.000, 0.335, 0.665)
Er (0.331, 0.338, 0.000)

Entry 2:
La5Er: relaxed, PBE.

Results
Total magnetization: 0.000 μB/atom
Symmetry: Cmmm (65)
Final energy: -4.850 eV per atom
Formation energy: 0.02 eV per atom

Lattice parameters (Å, degrees): 5.222 5.223 8.264 108.42 90.00 90.00
Positions (direct):
La (0.000, 0.665, 0.331)
La (0.000, 0.335, 0.669)
La (0.500, 0.500, 0.000)
La (0.500, 0.166, 0.332)
La (0.500, 0.834, 0.668)
Er (0.000, 0.000, 0.000)

Entry 3:
La3Er5: relaxed, PBE.

Results
Total magnetization: 0.000 μB/atom
Symmetry: Cmmm (65)
Final energy: -4.669 eV per atom
Formation energy: 0.03 eV per atom

Lattice parameters (Å, degrees): 5.146 7.157 7.157 92.00 90.00 90.00
Positions (direct):
La (0.000, 0.500, 0.500)
La (0.500, 0.755, 0.245)
La (0.500, 0.245, 0.755)
Er (0.000, 0.000, 0.000)
Er (0.000, 0.000, 0.500)
Er (0.000, 0.500, 0.000)
Er (0.500, 0.251, 0.251)
Er (0.500, 0.749, 0.749)

Entry 4:
La8Er: relaxed, PBE.

Results
Offset from the most stable computed form: 77 meV per atom
Total magnetization: 0.000 μB/atom
Symmetry: C2/m (12)
Final energy: -4.797 eV per atom
Formation energy: 0.09 eV per atom

Lattice parameters (Å, degrees): 9.478 9.477 9.477 157.10 92.27 92.27
Positions (direct):
La (0.000, 0.662, 0.338)
La (0.000, 0.338, 0.662)
La (0.668, 0.999, 0.667)
La (0.676, 0.336, 0.336)
La (0.668, 0.667, 0.999)
La (0.324, 0.664, 0.664)
La (0.332, 0.001, 0.333)
La (0.332, 0.333, 0.001)
Er (0.000, 0.000, 0.000)

Entry 5:
La8Er3: relaxed, PBE.

Results
Total magnetization: 0.000 μB/atom
Symmetry: C2/m (12)
Final energy: -4.804 eV per atom
Formation energy: 0.02 eV per atom

Lattice parameters (Å, degrees): 5.173 6.374 13.249 103.54 90.00 113.94
Positions (direct):
La (0.727, 0.454, 0.090)
La (0.273, 0.546, 0.910)
La (0.547, 0.094, 0.818)
La (0.453, 0.906, 0.182)
La (0.820, 0.640, 0.727)
La (0.180, 0.360, 0.273)
La (0.637, 0.274, 0.454)
La (0.363, 0.726, 0.546)
Er (0.000, 0.000, 0.000)
Er (0.908, 0.817, 0.366)
Er (0.092, 0.183, 0.634)

Entry 6:
La4Er: relaxed, PBE.

Results
Offset from the most stable computed form: 0 meV per atom
Total magnetization: 0.000 μB/atom
Symmetry: I4/m (87)
Final energy: -4.834 eV per atom
Formation energy: 0.02 eV per atom

Lattice parameters (Å, degrees): 5.182 6.392 6.392 80.54 66.09 66.09
Positions (direct):
La (0.203, 0.195, 0.398)
La (0.601, 0.602, 0.195)
La (0.797, 0.805, 0.602)
La (0.399, 0.398, 0.805)
Er (0.000, 0.000, 0.000)

Entry 7:
LaEr7: relaxed, PBE.

Results
Total magnetization: 0.000 μB/atom
Symmetry: Fm-3m (225)
Final energy: -4.583 eV per atom
Formation energy: 0.03 eV per atom

Lattice parameters (Å, degrees): 7.064 7.064 7.064 60.00 60.00 60.00
Positions (direct):
La (0.000, 0.000, 0.000)
Er (0.500, 0.500, 0.000)
Er (0.500, 0.000, 0.500)
Er (0.000, 0.500, 0.500)
Er (0.500, 0.000, 0.000)
Er (0.000, 0.500, 0.000)
Er (0.000, 0.000, 0.500)
Er (0.500, 0.500, 0.500)

Entry 8:
La6Er7: relaxed, PBE.

Results
Total magnetization: 0.096 μB/atom
Symmetry: R-3m (166)
Final energy: -4.495 eV per atom
Formation energy: 0.24 eV per atom

Lattice parameters (Å, degrees): 6.742 6.742 12.194 73.95 73.95 60.00
Site moments in Bohr magnetons follow the coordinates.
Positions (direct):
La (0.945, 0.945, 0.164)  -0.05
La (0.055, 0.055, 0.836)  -0.05
La (0.840, 0.840, 0.480)  -0.08
La (0.160, 0.160, 0.520)  -0.08
La (0.667, 0.667, 0.000)  -0.04
La (0.333, 0.333, 0.000)  -0.04
Er (0.414, 0.914, 0.259)  -0.04
Er (0.414, 0.414, 0.259)  -0.04
Er (0.914, 0.414, 0.259)  -0.04
Er (0.586, 0.086, 0.741)  -0.04
Er (0.086, 0.586, 0.741)  -0.04
Er (0.586, 0.586, 0.741)  -0.04
Er (0.500, 0.500, 0.500)  -0.10